Entry 1:
First-principles (PBE) data for a geometry-optimized Ce2HoAl structure, as listed in Alexandria.

a = 6.3548 Å, b = 4.9940 Å, c = 6.5167 Å
α = 90.00°, β = 90.10°, γ = 90.00°
Element x y z (fractional)
1 Ce 0.0321 0.2500 0.1119
2 Ce 0.4685 0.2500 0.1123
3 Ce 0.5315 0.7500 0.8877
4 Ce 0.9679 0.7500 0.8881
5 Ho 0.2489 0.2500 0.6023
6 Ho 0.7511 0.7500 0.3977
7 Al 0.2509 0.7500 0.3277
8 Al 0.7491 0.2500 0.6723

total energy	-20.92	eV per formula unit
polymorph energy (0 for the lowest one)	0	meV per atom
crystal system	monoclinic
ΔH_f (0 K)	-182	meV/atom
total magnetization	0.08	μB per formula unit


Entry 2:
First-principles (PBE) data for a geometry-optimized CeHoAl4 structure, as listed in Alexandria.

a = 5.5892 Å, b = 5.5892 Å, c = 5.5892 Å
α = 60.00°, β = 60.00°, γ = 60.00°
Element x y z (fractional)
1 Ce 0.0000 0.0000 0.0000
2 Ho 0.2500 0.2500 0.2500
3 Al 0.1237 0.6254 0.6254
4 Al 0.6254 0.1237 0.6254
5 Al 0.6254 0.6254 0.1237
6 Al 0.6254 0.6254 0.6254

total energy	-28.23	eV per formula unit
crystal system	cubic
ΔH_f (0 K)	-458	meV/atom
total magnetization	0.54	μB per formula unit